DFT (PBEsol) results for a relaxed structure of CoOsS3.

a = 4.201 Å, b = 4.201 Å, c = 4.201 Å
α = 90.00°, β = 90.00°, γ = 90.00°
Space group Pm-3m (No. 221)
Unique sites:
Co1 0.000 0.000 0.000
Os1 0.500 0.500 0.500
S1 0.000 0.000 0.500

Formation energy from raw total energies, eV/atom: 0.99
Total magnetization, μB per formula unit: 0.00
Uncorrected energy, eV per cell: -28.14